(1)
Here is LiTiCd2Si at its PBEsol-relaxed geometry from Alexandria via LeMat-Bulk. Energies are from meta-GGA SCAN.

Lattice parameters (Å, degrees): 4.901 4.901 4.731 90.00 90.00 90.00
Fractional positions:
Li  0.000  0.000  0.000
Ti  0.500  0.500  0.000
Cd  0.000  0.500  0.500
Cd  0.500  0.000  0.500
Si  0.500  0.500  0.500

As for the formation energy (no corrections): 36 kJ per mole of atoms. The calculation puts the magnetization at 0.00 μB per formula unit.

***

(2)
Here is TiPt3 at its PBEsol-relaxed geometry from Alexandria via LeMat-Bulk. Energies are from meta-GGA SCAN.

Lattice parameters (Å, degrees): 5.511 5.511 15.745 90.00 90.00 120.00
Fractional positions:
Ti  0.000  0.000  0.000
Ti  0.000  0.000  0.281
Ti  0.000  0.000  0.719
Ti  0.333  0.667  0.144
Ti  0.333  0.667  0.570
Ti  0.667  0.333  0.430
Ti  0.667  0.333  0.856
Pt  0.000  0.500  0.000
Pt  0.001  0.500  0.287
Pt  0.167  0.334  0.429
Pt  0.167  0.334  0.857
Pt  0.167  0.833  0.429
Pt  0.167  0.833  0.857
Pt  0.334  0.167  0.143
Pt  0.334  0.167  0.571
Pt  0.500  0.000  0.000
Pt  0.500  0.001  0.713
Pt  0.500  0.500  0.000
Pt  0.500  0.500  0.287
Pt  0.500  0.500  0.713
Pt  0.500  0.999  0.287
Pt  0.666  0.833  0.429
Pt  0.666  0.833  0.857
Pt  0.833  0.167  0.143
Pt  0.833  0.167  0.571
Pt  0.833  0.666  0.143
Pt  0.833  0.666  0.571
Pt  0.999  0.500  0.713

The formation energy from the elements is -95.5 kJ/mol of atoms. The calculation puts the magnetization at 0.00 μB per formula unit.

***

(3)
Here is KCd2Hg at its PBEsol-relaxed geometry from Alexandria via LeMat-Bulk. Energies are from meta-GGA SCAN.

Lattice parameters (Å, degrees): 6.588 6.588 3.104 101.71 101.71 121.61
Fractional positions:
K  0.000  0.000  0.000
Cd  0.000  0.500  0.500
Cd  0.500  0.000  0.500
Hg  0.500  0.500  0.000

The formation energy from the elements is -0.4 kJ/mol of atoms. The calculation puts the magnetization at 0.00 μB per formula unit.

***

(4)
Here is FeSnSCl2 at its PBEsol-relaxed geometry from Alexandria via LeMat-Bulk. Energies are from meta-GGA SCAN.

Lattice parameters (Å, degrees): 4.607 4.607 4.641 90.00 90.00 90.00
Fractional positions:
Fe  0.000  0.000  0.000
Sn  0.500  0.500  0.500
S  0.000  0.000  0.500
Cl  0.000  0.500  0.000
Cl  0.500  0.000  0.000

As for the formation energy (no corrections): -41 kJ per mole of atoms. The calculation puts the magnetization at 3.61 μB per formula unit.

***

(5)
Here is TeRuBr3 at its PBEsol-relaxed geometry from Alexandria via LeMat-Bulk. Energies are from meta-GGA SCAN.

Lattice parameters (Å, degrees): 5.547 5.547 5.547 90.00 90.00 90.00
Fractional positions:
Te  0.000  0.000  0.000
Ru  0.500  0.500  0.500
Br  0.000  0.000  0.500
Br  0.000  0.500  0.000
Br  0.500  0.000  0.000

As for the formation energy (no corrections): 76 kJ per mole of atoms. The calculation puts the magnetization at 3.29 μB per formula unit.

***

(6)
Here is BWN2 at its PBEsol-relaxed geometry from Alexandria via LeMat-Bulk. Energies are from meta-GGA SCAN.

Lattice parameters (Å, degrees): 4.744 4.744 4.744 124.53 124.53 82.33
Fractional positions:
B  0.000  0.000  0.000
B  0.750  0.250  0.500
W  0.250  0.750  0.500
W  0.500  0.500  0.000
N  0.030  0.625  0.905
N  0.375  0.280  0.405
N  0.720  0.125  0.095
N  0.875  0.970  0.595

As for the formation energy (no corrections): -13 kJ per mole of atoms. The calculation puts the magnetization at 0.00 μB per formula unit.

***

(7)
Here is Li2Hg2Sb at its PBEsol-relaxed geometry from Alexandria via LeMat-Bulk. Energies are from meta-GGA SCAN.

Lattice parameters (Å, degrees): 7.959 7.959 3.150 90.00 90.00 90.00
Fractional positions:
Li  0.165  0.335  0.000
Li  0.335  0.835  0.000
Li  0.665  0.165  0.000
Li  0.835  0.665  0.000
Hg  0.132  0.632  0.500
Hg  0.368  0.132  0.500
Hg  0.632  0.868  0.500
Hg  0.868  0.368  0.500
Sb  0.000  0.000  0.500
Sb  0.500  0.500  0.500

As for the formation energy (no corrections): -35 kJ per mole of atoms. The calculation puts the magnetization at 0.00 μB per formula unit.

***

(8)
Here is NaCdSn3 at its PBEsol-relaxed geometry from Alexandria via LeMat-Bulk. Energies are from meta-GGA SCAN.

Lattice parameters (Å, degrees): 5.327 5.327 5.327 90.00 90.00 90.00
Fractional positions:
Na  0.000  0.000  0.000
Cd  0.500  0.500  0.500
Sn  0.000  0.000  0.500
Sn  0.000  0.500  0.000
Sn  0.500  0.000  0.000

The formation energy from the elements is 67.7 kJ/mol of atoms. The calculation puts the magnetization at 0.00 μB per formula unit.

***

(9)
Here is K2LiY at its PBEsol-relaxed geometry from Alexandria via LeMat-Bulk. Energies are from meta-GGA SCAN.

Lattice parameters (Å, degrees): 3.723 6.374 6.822 90.00 90.00 90.00
Fractional positions:
K  0.000  0.000  0.000
K  0.500  0.500  0.000
Li  0.000  0.500  0.500
Y  0.500  0.000  0.500

The formation energy from the elements is 44.6 kJ/mol of atoms. The calculation puts the magnetization at 0.63 μB per formula unit.

***

(10)
Here is Zr5Ir3 at its PBEsol-relaxed geometry from Alexandria via LeMat-Bulk. Energies are from meta-GGA SCAN.

Lattice parameters (Å, degrees): 7.987 7.987 5.435 90.00 90.00 120.00
Fractional positions:
Zr  0.000  0.243  0.250
Zr  0.000  0.757  0.750
Zr  0.243  0.000  0.250
Zr  0.243  0.243  0.750
Zr  0.333  0.667  0.000
Zr  0.333  0.667  0.500
Zr  0.667  0.333  0.000
Zr  0.667  0.333  0.500
Zr  0.757  0.000  0.750
Zr  0.757  0.757  0.250
Ir  0.000  0.397  0.750
Ir  0.000  0.603  0.250
Ir  0.397  0.000  0.750
Ir  0.397  0.397  0.250
Ir  0.603  0.000  0.250
Ir  0.603  0.603  0.750

The formation energy from the elements is -92.3 kJ/mol of atoms. The calculation puts the magnetization at 0.00 μB per formula unit.

***

(11)
Here is In2Cl2F at its PBEsol-relaxed geometry from Alexandria via LeMat-Bulk. Energies are from meta-GGA SCAN.

Lattice parameters (Å, degrees): 5.949 5.949 5.949 126.67 126.67 78.80
Fractional positions:
In  0.250  0.750  0.500
In  0.750  0.250  0.500
Cl  0.171  0.171  0.000
Cl  0.829  0.829  0.000
F  0.500  0.500  0.000

As for the formation energy (no corrections): -73 kJ per mole of atoms. The calculation puts the magnetization at 0.00 μB per formula unit.

***

(12)
Here is LiTcC2 at its PBEsol-relaxed geometry from Alexandria via LeMat-Bulk. Energies are from meta-GGA SCAN.

Lattice parameters (Å, degrees): 3.615 3.615 3.615 60.00 60.00 60.00
Fractional positions:
Li  0.000  0.000  0.000
Tc  0.500  0.500  0.500
C  0.250  0.250  0.250
C  0.750  0.750  0.750

The formation energy from the elements is 110.3 kJ/mol of atoms. The calculation puts the magnetization at 0.00 μB per formula unit.

***

(13)
Here is CrClO at its PBEsol-relaxed geometry from Alexandria via LeMat-Bulk. Energies are from meta-GGA SCAN.

Lattice parameters (Å, degrees): 3.161 3.833 7.982 90.00 90.00 90.00
Fractional positions:
Cr  0.250  0.250  0.106
Cr  0.750  0.750  0.894
Cl  0.250  0.750  0.684
Cl  0.750  0.250  0.316
O  0.250  0.750  0.051
O  0.750  0.250  0.949

As for the formation energy (no corrections): -202 kJ per mole of atoms. The calculation puts the magnetization at 3.00 μB per formula unit.

***

(14)
Here is Cr2SiAu at its PBEsol-relaxed geometry from Alexandria via LeMat-Bulk. Energies are from meta-GGA SCAN.

Lattice parameters (Å, degrees): 2.971 2.971 5.984 90.00 90.00 90.00
Fractional positions:
Cr  0.000  0.000  0.000
Cr  0.500  0.500  0.205
Si  0.000  0.000  0.423
Au  0.500  0.500  0.701

As for the formation energy (no corrections): 0 kJ per mole of atoms. The calculation puts the magnetization at 1.45 μB per formula unit.

***

(15)
Here is Sb2F13 at its PBEsol-relaxed geometry from Alexandria via LeMat-Bulk. Energies are from meta-GGA SCAN.

Lattice parameters (Å, degrees): 5.249 6.814 7.575 116.69 93.32 97.33
Fractional positions:
Sb  0.182  0.161  0.287
Sb  0.818  0.839  0.713
F  0.000  0.000  0.000
F  0.076  0.416  0.289
F  0.136  0.923  0.641
F  0.269  0.880  0.232
F  0.363  0.311  0.545
F  0.456  0.467  0.901
F  0.478  0.206  0.165
F  0.522  0.794  0.835
F  0.544  0.533  0.099
F  0.637  0.689  0.455
F  0.731  0.120  0.768
F  0.864  0.077  0.359
F  0.924  0.584  0.711

As for the formation energy (no corrections): -173 kJ per mole of atoms. The calculation puts the magnetization at 1.18 μB per formula unit.

***

(16)
Here is Li2U3P2O15 at its PBEsol-relaxed geometry from Alexandria via LeMat-Bulk. Energies are from meta-GGA SCAN.

Lattice parameters (Å, degrees): 13.504 13.504 13.504 149.40 149.40 43.82
Fractional positions:
Li  0.059  0.309  0.750
Li  0.309  0.059  0.250
Li  0.691  0.941  0.750
Li  0.941  0.691  0.250
U  0.125  0.875  0.250
U  0.291  0.541  0.750
U  0.459  0.709  0.750
U  0.541  0.291  0.250
U  0.709  0.459  0.250
U  0.875  0.125  0.750
P  0.163  0.413  0.750
P  0.413  0.163  0.250
P  0.587  0.837  0.750
P  0.837  0.587  0.250
O  0.034  0.452  0.581
O  0.053  0.803  0.250
O  0.126  0.203  0.577
O  0.126  0.550  0.923
O  0.197  0.947  0.250
O  0.203  0.126  0.077
O  0.208  0.712  0.495
O  0.283  0.288  0.995
O  0.288  0.283  0.495
O  0.288  0.792  0.005
O  0.371  0.452  0.919
O  0.375  0.625  0.750
O  0.450  0.874  0.577
O  0.452  0.034  0.081
O  0.452  0.371  0.419
O  0.548  0.629  0.581
O  0.548  0.966  0.919
O  0.550  0.126  0.423
O  0.625  0.375  0.250
O  0.629  0.548  0.081
O  0.712  0.208  0.995
O  0.712  0.717  0.505
O  0.717  0.712  0.005
O  0.792  0.288  0.505
O  0.797  0.874  0.923
O  0.803  0.053  0.750
O  0.874  0.450  0.077
O  0.874  0.797  0.423
O  0.947  0.197  0.750
O  0.966  0.548  0.419

As for the formation energy (no corrections): -284 kJ per mole of atoms. The calculation puts the magnetization at 0.00 μB per formula unit.

***

(17)
Here is ScInHg at its PBEsol-relaxed geometry from Alexandria via LeMat-Bulk. Energies are from meta-GGA SCAN.

Lattice parameters (Å, degrees): 4.767 4.767 3.248 90.00 90.00 120.00
Fractional positions:
Sc  0.000  0.000  0.000
In  0.667  0.333  0.501
Hg  0.333  0.667  0.498

The formation energy from the elements is -44.9 kJ/mol of atoms. The calculation puts the magnetization at 0.02 μB per formula unit.

***

(18)
Here is CdIn2Rh at its PBEsol-relaxed geometry from Alexandria via LeMat-Bulk. Energies are from meta-GGA SCAN.

Lattice parameters (Å, degrees): 6.859 6.859 6.859 155.15 142.13 45.83
Fractional positions:
Cd  0.000  0.000  0.000
In  0.320  0.820  0.500
In  0.626  0.626  0.000
Rh  0.809  0.309  0.500

The formation energy from the elements is -23.0 kJ/mol of atoms. The calculation puts the magnetization at 0.00 μB per formula unit.

***

(19)
Here is BaZnAgF7 at its PBEsol-relaxed geometry from Alexandria via LeMat-Bulk. Energies are from meta-GGA SCAN.

Lattice parameters (Å, degrees): 5.649 10.028 9.707 90.00 92.85 90.00
Fractional positions:
Ba  0.236  0.180  0.003
Ba  0.236  0.320  0.503
Ba  0.764  0.680  0.497
Ba  0.764  0.820  0.997
Zn  0.192  0.604  0.808
Zn  0.192  0.896  0.308
Zn  0.808  0.104  0.692
Zn  0.808  0.396  0.192
Ag  0.306  0.611  0.184
Ag  0.306  0.889  0.684
Ag  0.694  0.111  0.316
Ag  0.694  0.389  0.816
F  0.008  0.715  0.247
F  0.008  0.785  0.747
F  0.099  0.538  0.627
F  0.099  0.962  0.127
F  0.132  0.063  0.621
F  0.132  0.437  0.121
F  0.241  0.701  0.991
F  0.241  0.799  0.491
F  0.367  0.053  0.382
F  0.367  0.447  0.882
F  0.402  0.538  0.376
F  0.402  0.962  0.876
F  0.482  0.714  0.748
F  0.482  0.786  0.248
F  0.518  0.214  0.752
F  0.518  0.286  0.252
F  0.598  0.038  0.124
F  0.598  0.462  0.624
F  0.633  0.553  0.118
F  0.633  0.947  0.618
F  0.759  0.201  0.509
F  0.759  0.299  0.009
F  0.868  0.563  0.879
F  0.868  0.937  0.379
F  0.901  0.038  0.873
F  0.901  0.462  0.373
F  0.992  0.215  0.253
F  0.992  0.285  0.753

As for the formation energy (no corrections): -238 kJ per mole of atoms. The calculation puts the magnetization at 1.96 μB per formula unit.

***

(20)
Here is Na4TiP2O9 at its PBEsol-relaxed geometry from Alexandria via LeMat-Bulk. Energies are from meta-GGA SCAN.

Lattice parameters (Å, degrees): 8.531 8.531 7.599 90.00 90.00 131.36
Fractional positions:
Na  0.000  0.500  0.000
Na  0.116  0.884  0.766
Na  0.250  0.250  0.500
Na  0.384  0.616  0.766
Na  0.500  0.000  0.000
Na  0.616  0.384  0.234
Na  0.750  0.750  0.500
Na  0.884  0.116  0.234
Ti  0.000  0.500  0.500
Ti  0.500  0.000  0.500
P  0.119  0.881  0.241
P  0.381  0.619  0.241
P  0.619  0.381  0.759
P  0.881  0.119  0.759
O  0.024  0.976  0.289
O  0.025  0.343  0.672
O  0.145  0.855  0.048
O  0.157  0.475  0.328
O  0.250  0.750  0.591
O  0.343  0.025  0.328
O  0.355  0.645  0.048
O  0.475  0.157  0.672
O  0.476  0.524  0.289
O  0.524  0.476  0.711
O  0.525  0.843  0.328
O  0.645  0.355  0.952
O  0.657  0.975  0.672
O  0.750  0.250  0.409
O  0.843  0.525  0.672
O  0.855  0.145  0.952
O  0.975  0.657  0.328
O  0.976  0.024  0.711

As for the formation energy (no corrections): -255 kJ per mole of atoms. The calculation puts the magnetization at 0.00 μB per formula unit.